The following is a PBE calculation of an optimized crystal structure of NpSi4Ni2Os, from Alexandria via LeMat-Bulk.

Output
Symmetry: R-3m, No. 166
Energy relative to the elements, uncorrected in eV/atom: -0.29

a b c (Å): 3.960 3.960 8.845
angles (deg): 77.07 77.07 60.00
Site moments in Bohr magnetons follow the coordinates.
Element x y z (fractional)
Ni  0.767  0.767  0.700  0.11
Si  0.401  0.401  0.797  -0.01
Si  0.123  0.123  0.631  0.00
Np  0.000  0.000  0.000  3.70
Os  0.500  0.500  0.500  0.12
Ni  0.233  0.233  0.300  0.11
Si  0.599  0.599  0.203  -0.01
Si  0.877  0.877  0.369  0.00